HfZr2Ir PBE-GGA optimized geometry; symmetry = Fm-3m (225); energy above the most stable polymorph in this dataset = 0.193 eV/atom; calculated formation energy = -294 meV/atom; energy = -37.08 eV per cell
1.0
0.000 3.390 3.390
3.390 0.000 3.390
3.390 3.390 0.000
Hf Zr Ir
1 2 1
direct
0.000 0.000 0.000
0.250 0.250 0.250
0.750 0.750 0.750
0.500 0.500 0.500